## SrTaH (PBE)

Data for crystalline SrTaH at its relaxed geometry.

Offset from the most stable computed form = 252 meV per atom
Crystal system = orthorhombic
DOS at the Fermi energy = 1.63 states/eV/f.u.
Electronic total energy = -32.45 eV/cell
V = 68 Å³/f.u.

Lattice parameters (Å, degrees): 3.551 3.946 9.637 90.00 90.00 90.00
Space group Pmm2 (No. 25)
Unique sites:
Sr (0.000, 0.000, 0.000) (multiplicity 1)
Sr (0.500, 0.500, 0.367) (multiplicity 1)
Ta (0.000, 0.000, 0.615) (multiplicity 1)
Ta (0.500, 0.500, 0.718) (multiplicity 1)
H (0.000, 0.269, 0.775) (multiplicity 2)